Density functional theory data (meta-GGA SCAN) for a PBEsol-optimized structure of TaMo5.

Cell and atoms, written as POSCAR:
```
TaMo5
1.0
-1.0462 -0.2090 -2.4093
-0.1704 -2.6122 0.3006
-12.6323 1.4409 5.3604
Mo Ta
5 1
Direct
0.0000 0.0000 0.1705 Mo
0.0000 0.0000 0.5000 Mo
0.0000 0.0000 0.8295 Mo
0.5000 0.5000 0.6637 Mo
0.5000 0.5000 0.3363 Mo
0.5000 0.5000 0.0000 Ta
```

Values from the calculation:
* relative energy among the computed polymorphs: 396 meV/atom
* E_form: 300 meV per atom
* density of states at the Fermi level: 0.72 states/eV/atom
* M_tot: 0.0 Bohr magnetons per cell

---

Density functional theory data (meta-GGA SCAN) for a PBEsol-optimized structure of ReTcCl2.

Cell and atoms, written as POSCAR:
```
ReTcCl2
1.0
2.9135 0.0000 0.0000
0.0000 3.0526 0.0000
0.0000 0.0000 8.2040
Re Cl Tc
1 2 1
Direct
0.0000 0.0000 0.5332 Re
0.0000 0.5000 0.9453 Cl
0.5000 0.0000 0.3044 Cl
0.5000 0.5000 0.7170 Tc
```

Values from the calculation:
* formation energy without anion corrections: -22.4 kJ per mole of atoms
* relative energy among the computed polymorphs: 0 meV/atom
* density of states at the Fermi level: 0.68 states/eV/atom
* M_tot: 0.0 Bohr magnetons per cell

---

Density functional theory data (meta-GGA SCAN) for a PBEsol-optimized structure of KBF4.

Cell and atoms, written as POSCAR:
```
KBF4
1.0
-2.8095 -2.5671 3.2061
2.8765 -3.8439 -1.3614
2.4122 3.9905 1.7443
F B K
4 1 1
Direct
0.4387 0.8295 0.8843 F
0.5076 0.5831 0.1976 F
0.1917 0.8888 0.1901 F
0.7518 0.1347 0.5058 F
0.4725 0.8590 0.1945 B
0.9737 0.3591 0.1958 K
```

Values from the calculation:
* formation energy without anion corrections: -306.0 kJ per mole of atoms
* density of states at the Fermi level: 0.00 states/eV/atom
* M_tot: 0.1 Bohr magnetons per cell

---

Density functional theory data (meta-GGA SCAN) for a PBEsol-optimized structure of FeCoPb3.

Cell and atoms, written as POSCAR:
```
FeCoPb3
1.0
-3.9460 2.1897 2.0334
-2.9876 -2.9566 -2.6139
0.0583 -3.3112 3.6787
Fe Pb Co
1 3 1
Direct
0.0000 0.0000 0.0000 Fe
0.5000 0.0000 0.0000 Pb
0.0000 0.0000 0.5000 Pb
0.0000 0.5000 0.0000 Pb
0.5000 0.5000 0.5000 Co
```

Values from the calculation:
* E_form: 892 meV per atom
* density of states at the Fermi level: 0.94 states/eV/atom
* M_tot: 1.0 Bohr magnetons per cell

---

Density functional theory data (meta-GGA SCAN) for a PBEsol-optimized structure of SrMo2Br.

Cell and atoms, written as POSCAR:
```
SrMo2Br
1.0
-1.7658 0.9214 -2.5890
1.2853 -2.5406 -1.7808
-6.5203 -3.6663 3.1425
Mo Sr Br
2 1 1
Direct
0.5000 0.8044 0.1917 Mo
0.0000 0.1973 0.0525 Mo
0.0000 0.4426 0.4929 Sr
0.5000 0.0556 0.7630 Br
```

Values from the calculation:
* formation energy without anion corrections: 4.7 kJ per mole of atoms
* relative energy among the computed polymorphs: 0 meV/atom
* density of states at the Fermi level: 0.53 states/eV/atom
* M_tot: 0.0 Bohr magnetons per cell

---

Density functional theory data (meta-GGA SCAN) for a PBEsol-optimized structure of CoRe2SbO.

Cell and atoms, written as POSCAR:
```
CoRe2SbO
1.0
-0.2403 -1.0083 -3.6970
-2.7036 -3.9964 1.2657
-4.1804 2.6824 -0.4599
O Re Sb Co
1 2 1 1
Direct
0.5000 0.0000 0.0000 O
0.0000 0.5000 0.0000 Re
0.0000 0.0000 0.5000 Re
0.0000 0.0000 0.0000 Sb
0.5000 0.5000 0.5000 Co
```

Values from the calculation:
* formation energy without anion corrections: 196.8 kJ per mole of atoms
* density of states at the Fermi level: 0.64 states/eV/atom
* M_tot: 6.0 Bohr magnetons per cell

---

Density functional theory data (meta-GGA SCAN) for a PBEsol-optimized structure of Sr2ZrTl.

Cell and atoms, written as POSCAR:
```
Sr2ZrTl
1.0
3.6575 0.0000 0.0000
0.0000 5.8854 0.0000
0.0000 0.0000 5.8854
Tl Zr Sr
1 1 2
Direct
0.5000 0.5000 0.5000 Tl
0.5000 0.0000 0.0000 Zr
0.0000 0.5000 0.0000 Sr
0.0000 0.0000 0.5000 Sr
```

Values from the calculation:
* relative energy among the computed polymorphs: 219 meV/atom
* E_form: 208 meV per atom
* density of states at the Fermi level: 0.84 states/eV/atom
* M_tot: 3.0 Bohr magnetons per cell

---

Density functional theory data (meta-GGA SCAN) for a PBEsol-optimized structure of ScCuAg2.

Cell and atoms, written as POSCAR:
```
ScCuAg2
1.0
-2.8029 0.4517 -0.1440
-0.9360 -2.5591 0.8100
-3.5284 0.4569 8.3463
Sc Ag Cu
1 2 1
Direct
0.2293 0.2293 0.2689 Sc
0.7709 0.7709 0.7319 Ag
0.9987 0.9987 0.9945 Ag
0.5012 0.5012 0.5048 Cu
```

Values from the calculation:
* relative energy among the computed polymorphs: 152 meV/atom
* E_form: -21 meV per atom
* density of states at the Fermi level: 0.42 states/eV/atom
* M_tot: 0.0 Bohr magnetons per cell